First-principles (PBE) data for a geometry-optimized ZnIn2Te4 structure, as listed in Alexandria.

Cell: 6.236 6.236 12.602 Å, 90.00 90.00 90.00°
Space group I-4 (No. 82)
One atom of each set of equivalent atoms:
Zn 0.000 0.000 0.000 x2
In 0.000 0.000 0.500 x2
In 0.000 0.500 0.750 x2
Te 0.214 0.735 0.132 x8

Calculated values
DFT total energy = -3.14 eV per atom
total magnetization = 0.0 μB/cell